Entry 1:
This record from Alexandria describes a relaxed structure of CuTc3Cl. The functional is GGA-PBE.

Unit cell a=4.317 b=4.317 c=4.317 alpha=90.00 beta=90.00 gamma=90.00
Atoms (fractional coordinates):
1 Tc 0.000 0.000 0.500
2 Tc 0.500 0.000 0.000
3 Tc 0.000 0.500 0.000
4 Cu 0.500 0.500 0.500
5 Cl 0.000 0.000 0.000

Output
DOS(E_F) ... 1.09 states/eV per atom
Electronic total energy ... -6.196 eV per atom
Formation energy from raw total energies ... 1.21 eV per atom
SG ... Pm-3m (221)
Polymorph energy (0 for the lowest one) ... 0.000 eV/f.u.
Total magnetization ... 0.90 μB/f.u.


Entry 2:
This record from Alexandria describes a relaxed structure of Cu2TcCl. The functional is GGA-PBE.

Unit cell a=2.736 b=4.354 c=5.556 alpha=59.05 beta=90.00 gamma=90.00
Atoms (fractional coordinates):
1 Tc 0.500 0.500 0.500
2 Cl 0.000 0.000 0.500
3 Cu 0.000 0.000 0.000
4 Cu 0.500 0.500 0.000

Output
DOS(E_F) ... 0.94 states/eV per atom
Electronic total energy ... -4.500 eV per atom
Formation energy from raw total energies ... 0.60 eV per atom
SG ... P2/m (10)
Polymorph energy (0 for the lowest one) ... 1.219 eV/f.u.
Total magnetization ... 0.49 μB/f.u.


Entry 3:
This record from Alexandria describes a relaxed structure of Cu2TcCl. The functional is GGA-PBE.

Unit cell a=2.806 b=2.821 c=7.547 alpha=90.00 beta=90.00 gamma=90.00
Atoms (fractional coordinates):
1 Tc 0.500 0.250 0.250
2 Cl 0.500 0.750 0.750
3 Cu 0.000 0.749 0.486
4 Cu 0.000 0.751 0.014

Output
DOS(E_F) ... 0.44 states/eV per atom
Electronic total energy ... -4.798 eV per atom
Formation energy from raw total energies ... 0.30 eV per atom
SG ... Pmmm (47)
Polymorph energy (0 for the lowest one) ... 0.026 eV/f.u.
Total magnetization ... 0.00 μB/f.u.


Entry 4:
This record from Alexandria describes a relaxed structure of Cu2TcCl. The functional is GGA-PBE.

Unit cell a=8.574 b=8.574 c=8.574 alpha=19.18 beta=19.18 gamma=19.18
Atoms (fractional coordinates):
1 Cu 0.010 0.010 0.010
2 Cu 0.751 0.751 0.751
3 Tc 0.500 0.500 0.500
4 Cl 0.239 0.239 0.239

Output
DOS(E_F) ... 0.54 states/eV per atom
Electronic total energy ... -4.805 eV per atom
Formation energy from raw total energies ... 0.30 eV per atom
SG ... R3m (160)
Polymorph energy (0 for the lowest one) ... 0.000 eV/f.u.
Total magnetization ... 0.00 μB/f.u.


Entry 5:
This record from Alexandria describes a relaxed structure of CuTcCl3. The functional is GGA-PBE.

Unit cell a=4.884 b=4.884 c=4.884 alpha=90.00 beta=90.00 gamma=90.00
Atoms (fractional coordinates):
1 Cl 0.000 0.500 0.000
2 Cl 0.000 0.000 0.500
3 Cl 0.500 0.000 0.000
4 Tc 0.000 0.000 0.000
5 Cu 0.500 0.500 0.500

Output
DOS(E_F) ... 0.80 states/eV per atom
Electronic total energy ... -3.791 eV per atom
Formation energy from raw total energies ... 0.21 eV per atom
SG ... Pm-3m (221)
Polymorph energy (0 for the lowest one) ... 0.000 eV/f.u.
Total magnetization ... 2.91 μB/f.u.


Entry 6:
This record from Alexandria describes a relaxed structure of Cu2TcCl. The functional is GGA-PBE.

Unit cell a=4.069 b=2.707 c=5.376 alpha=75.17 beta=90.00 gamma=90.00
Atoms (fractional coordinates):
1 Cu 0.500 0.316 0.243
2 Cl 0.500 0.569 0.731
3 Cu 0.000 0.933 0.016
4 Tc 0.000 0.682 0.510

Output
DOS(E_F) ... 0.48 states/eV per atom
Electronic total energy ... -4.641 eV per atom
Formation energy from raw total energies ... 0.46 eV per atom
SG ... Pm (6)
Polymorph energy (0 for the lowest one) ... 0.654 eV/f.u.
Total magnetization ... 0.00 μB/f.u.


Entry 7:
This record from Alexandria describes a relaxed structure of Cu2TcCl. The functional is GGA-PBE.

Unit cell a=5.293 b=5.293 c=5.293 alpha=140.68 beta=140.68 gamma=56.82
Atoms (fractional coordinates):
1 Cu 0.000 0.000 0.000
2 Cu 0.500 0.500 0.000
3 Cl 0.750 0.250 0.500
4 Tc 0.250 0.750 0.500

Output
DOS(E_F) ... 0.71 states/eV per atom
Electronic total energy ... -4.320 eV per atom
Formation energy from raw total energies ... 0.78 eV per atom
SG ... I4/mmm (139)
Polymorph energy (0 for the lowest one) ... 1.941 eV/f.u.
Total magnetization ... 2.19 μB/f.u.


Entry 8:
This record from Alexandria describes a relaxed structure of CuTc3Cl. The functional is GGA-PBE.

Unit cell a=4.641 b=4.641 c=4.641 alpha=90.00 beta=90.00 gamma=90.00
Atoms (fractional coordinates):
1 Tc 0.000 0.500 0.000
2 Cu 0.000 0.000 0.000
3 Tc 0.500 0.000 0.000
4 Tc 0.000 0.000 0.500
5 Cl 0.500 0.500 0.500

Output
DOS(E_F) ... 1.57 states/eV per atom
Electronic total energy ... -5.395 eV per atom
Formation energy from raw total energies ... 2.01 eV per atom
SG ... Pm-3m (221)
Polymorph energy (0 for the lowest one) ... 4.005 eV/f.u.
Total magnetization ... 7.26 μB/f.u.


Entry 9:
This record from Alexandria describes a relaxed structure of CuTcCl. The functional is GGA-PBE.

Unit cell a=2.936 b=2.936 c=6.196 alpha=90.00 beta=90.00 gamma=120.00
Atoms (fractional coordinates):
1 Cl 0.000 0.000 0.966
2 Cu 0.667 0.333 0.358
3 Tc 0.333 0.667 0.676

Output
DOS(E_F) ... 0.60 states/eV per atom
Electronic total energy ... -5.078 eV per atom
Formation energy from raw total energies ... 0.36 eV per atom
SG ... P3m1 (156)
Polymorph energy (0 for the lowest one) ... 0.000 eV/f.u.
Total magnetization ... 0.00 μB/f.u.


Entry 10:
This record from Alexandria describes a relaxed structure of CuTcCl. The functional is GGA-PBE.

Unit cell a=6.819 b=6.476 c=2.953 alpha=83.76 beta=70.75 gamma=25.50
Atoms (fractional coordinates):
1 Cu 0.330 0.330 0.670
2 Tc 0.664 0.664 0.336
3 Cl 0.005 0.005 0.995

Output
DOS(E_F) ... 0.65 states/eV per atom
Electronic total energy ... -4.935 eV per atom
Formation energy from raw total energies ... 0.50 eV per atom
SG ... Fmm2 (42)
Polymorph energy (0 for the lowest one) ... 0.429 eV/f.u.
Total magnetization ... 1.15 μB/f.u.


Entry 11:
This record from Alexandria describes a relaxed structure of Cu3TcCl. The functional is GGA-PBE.

Unit cell a=4.384 b=4.384 c=4.384 alpha=90.00 beta=90.00 gamma=90.00
Atoms (fractional coordinates):
1 Cl 0.000 0.000 0.000
2 Tc 0.500 0.500 0.500
3 Cu 0.000 0.500 0.000
4 Cu 0.500 0.000 0.000
5 Cu 0.000 0.000 0.500

Output
DOS(E_F) ... 1.51 states/eV per atom
Electronic total energy ... -3.626 eV per atom
Formation energy from raw total energies ... 1.27 eV per atom
SG ... Pm-3m (221)
Polymorph energy (0 for the lowest one) ... 0.000 eV/f.u.
Total magnetization ... 3.05 μB/f.u.


Entry 12:
This record from Alexandria describes a relaxed structure of Cu2TcCl. The functional is GGA-PBE.

Unit cell a=4.475 b=4.475 c=4.475 alpha=60.00 beta=60.00 gamma=60.00
Atoms (fractional coordinates):
1 Cu 0.250 0.250 0.250
2 Tc 0.500 0.500 0.500
3 Cl 0.000 0.000 0.000
4 Cu 0.750 0.750 0.750

Output
DOS(E_F) ... 0.54 states/eV per atom
Electronic total energy ... -4.136 eV per atom
Formation energy from raw total energies ... 0.97 eV per atom
SG ... Fm-3m (225)
Polymorph energy (0 for the lowest one) ... 2.675 eV/f.u.
Total magnetization ... 3.31 μB/f.u.


Entry 13:
This record from Alexandria describes a relaxed structure of Cu2TcCl. The functional is GGA-PBE.

Unit cell a=8.064 b=8.064 c=8.064 alpha=20.76 beta=20.76 gamma=20.76
Atoms (fractional coordinates):
1 Cl 0.750 0.750 0.750
2 Cu 0.003 0.003 0.003
3 Tc 0.250 0.250 0.250
4 Cu 0.497 0.497 0.497

Output
DOS(E_F) ... 0.94 states/eV per atom
Electronic total energy ... -4.782 eV per atom
Formation energy from raw total energies ... 0.32 eV per atom
SG ... R-3m (166)
Polymorph energy (0 for the lowest one) ... 0.093 eV/f.u.
Total magnetization ... 0.46 μB/f.u.


Entry 14:
This record from Alexandria describes a relaxed structure of CuTcCl. The functional is GGA-PBE.

Unit cell a=4.315 b=4.315 c=2.722 alpha=90.00 beta=90.00 gamma=120.00
Atoms (fractional coordinates):
1 Cl 0.000 0.000 0.834
2 Cu 0.667 0.333 0.333
3 Tc 0.333 0.667 0.834

Output
DOS(E_F) ... 1.12 states/eV per atom
Electronic total energy ... -4.716 eV per atom
Formation energy from raw total energies ... 0.72 eV per atom
SG ... P-6m2 (187)
Polymorph energy (0 for the lowest one) ... 1.087 eV/f.u.
Total magnetization ... 0.00 μB/f.u.


Entry 15:
This record from Alexandria describes a relaxed structure of Cu2TcCl. The functional is GGA-PBE.

Unit cell a=2.837 b=2.837 c=8.550 alpha=90.00 beta=90.00 gamma=119.91
Atoms (fractional coordinates):
1 Cl 0.500 0.500 0.734
2 Cu 0.000 0.000 0.015
3 Tc 0.000 0.000 0.503
4 Cu 0.500 0.500 0.248

Output
DOS(E_F) ... 0.74 states/eV per atom
Electronic total energy ... -4.647 eV per atom
Formation energy from raw total energies ... 0.45 eV per atom
SG ... Cmm2 (35)
Polymorph energy (0 for the lowest one) ... 0.632 eV/f.u.
Total magnetization ... 0.60 μB/f.u.